No. 1
A relaxed structure of TaAs. Source: Alexandria, functional PBE.

Computed properties:
Spin magnetization, μB per formula unit: 0.730
Energy of formation from the pure elements, eV per atom: 0.667
DOS at the Fermi energy, states/eV per cell: 16.21

Unit cell a=7.143 b=7.143 c=7.143 alpha=90.00 beta=90.00 gamma=90.00
Space group Pm-3n (No. 223)
One atom of each set of equivalent atoms:
Ta 0.000 0.250 0.500
As 0.000 0.500 0.250

---

No. 2
A relaxed structure of CrAsPd6. Source: Alexandria, functional PBE.

Computed properties:
Spin magnetization, μB per formula unit: 3.561
Energy of formation from the pure elements, eV per atom: -0.090
DOS at the Fermi energy, states/eV per cell: 7.60

Unit cell a=5.056 b=5.062 c=5.080 alpha=94.99 beta=95.07 gamma=95.36
Space group P-1 (No. 2)
One atom of each set of equivalent atoms:
Cr 0.000 0.000 0.000
As 0.500 0.500 0.500
Pd 0.078 0.548 0.259
Pd 0.259 0.078 0.550
Pd 0.452 0.740 0.920

---

No. 3
A relaxed structure of Zr2MnC. Source: Alexandria, functional PBE.

Computed properties:
Spin magnetization, μB per formula unit: 0.000
Energy of formation from the pure elements, eV per atom: 0.454
DOS at the Fermi energy, states/eV per cell: 25.71

Unit cell a=6.399 b=6.399 c=6.441 alpha=90.00 beta=90.00 gamma=90.00
Space group I-42d (No. 122)
One atom of each set of equivalent atoms:
Zr 0.203 0.250 0.125
Mn 0.000 0.000 0.500
C 0.000 0.000 0.000

---

No. 4
A relaxed structure of Nd4BiAsS2. Source: Alexandria, functional PBE.

Computed properties:
Electronic total energy, eV per atom: -6.068
Spin magnetization, μB per formula unit: 0.000
DOS at the Fermi energy, states/eV per cell: 3.22

Unit cell a=7.341 b=4.262 c=7.441 alpha=90.00 beta=109.53 gamma=90.00
Space group P2/m (No. 10)
One atom of each set of equivalent atoms:
Nd 0.229 0.000 0.228
Nd 0.240 0.500 0.760
Bi 0.500 0.500 0.500
As 0.500 0.000 0.000
S 0.000 0.000 0.500
S 0.000 0.500 0.000

---

No. 5
A relaxed structure of AcNdCoHg. Source: Alexandria, functional PBE.

Computed properties:
Spin magnetization, μB per formula unit: 0.685
Energy of formation from the pure elements, eV per atom: -0.067
DOS at the Fermi energy, states/eV per cell: 15.47

Unit cell a=7.576 b=7.576 c=7.576 alpha=90.00 beta=90.00 gamma=90.00
Space group F-43m (No. 216)
One atom of each set of equivalent atoms:
Ac 0.000 0.000 0.000
Nd 0.000 0.000 0.500
Co 0.250 0.250 0.250
Hg 0.250 0.250 0.750

---

No. 6
A relaxed structure of Tb2Y4Th3. Source: Alexandria, functional PBE.

Computed properties:
Spin magnetization, μB per formula unit: 0.002
Energy of formation from the pure elements, eV per atom: 0.081
DOS at the Fermi energy, states/eV per cell: 18.66

Unit cell a=3.5738 b=3.5738 c=26.5262 alpha=90.00 beta=90.00 gamma=120.00
Space group P3m1 (No. 156)
One atom of each set of equivalent atoms:
Tb 0.0000 0.0000 0.0000
Tb 0.0000 0.0000 0.2177
Y 0.0000 0.0000 0.3433
Y 0.0000 0.0000 0.5620
Y 0.3333 0.6667 0.6709
Y 0.3333 0.6667 0.8912
Th 0.0000 0.0000 0.7811
Th 0.3333 0.6667 0.1111
Th 0.3333 0.6667 0.4503